The following is a DFT calculation (PBE-GGA) of a relaxed structure of TaMnPt2.

a b c (Å): 4.6465 5.6222 5.6222
angles (deg): 121.16 90.00 90.00
Site moments in Bohr magnetons follow the coordinates.
Atoms (fractional coordinates):
Ta: 0.7500 0.9020 0.0980  -0.42
Ta: 0.2500 0.0980 0.9020  -0.42
Mn: 0.7500 0.4108 0.5892  3.37
Mn: 0.2500 0.5892 0.4108  3.37
Pt: 0.7500 0.4064 0.0931  0.05
Pt: 0.7500 0.9069 0.5936  0.05
Pt: 0.2500 0.5936 0.9069  0.05
Pt: 0.2500 0.0931 0.4064  0.05

* space-group type: No. 63
* formation energy from the elements: -0.4967 eV/atom